A geometry-optimized BaFeI2 structure. Source: Alexandria, functional GGA-PBE.

abc: 5.824 5.824 5.824
angles: 60.00 60.00 60.00
Atoms (fractional coordinates):
I (0.250, 0.250, 0.250)
I (0.750, 0.750, 0.750)
Ba (0.500, 0.500, 0.500)
Fe (0.000, 0.000, 0.000)

Summary:
The total energy is -3.6846 eV/atom. The calculated volume comes out at 140 Å³ per cell. As for the size of the total moment: 4.0 μB per formula unit. The uncorrected formation energy comes out at -7.22 kcal/mol of atoms. The calculation puts the energy above the lowest structure with this stoichiometry at 0.00 eV per formula unit. The space group is Fm-3m.